ZrTl2I5 | GGA-PBE | optimized geometry

Summary:
N(E_F)   0.52 states/eV/f.u.
Formation energy (no corrections)   -0.68 eV per atom
Total energy   -3.31 eV per atom

a b c (Å): 8.680 8.680 8.477
angles (deg): 119.22 119.22 58.46
Sites, in units of the cell vectors:
Zr: 0.000 0.000 0.000
Tl: 0.197 0.197 0.697
Tl: 0.697 0.697 0.196
I: 0.293 0.828 0.828
I: 0.294 0.829 0.294
I: 0.782 0.782 0.782
I: 0.828 0.293 0.828
I: 0.829 0.294 0.294